This record from the Alexandria database describes a relaxed structure of Cs2TlZnCl4. The functional is PBE.

Computed properties:
Formation energy without anion corrections, eV per atom: -1.209
Density of states at the Fermi level, states/eV/f.u.: 2.6
Electronic total energy, eV per atom: -2.800

Cell lengths 5.3256, 8.6007, 15.1500 Å; angles 86.88, 79.88, 71.96 degrees
Closest atoms and distances in Å follow each position.
Atoms (fractional coordinates):
Cl1 0.2488 0.2182 0.8754  1 Zn 2.80, 1 Tl 3.02
Cl2 0.4076 0.7182 0.3754  1 Zn 2.80, 1 Tl 3.02
Cl3 0.8743 0.7182 0.6246  1 Zn 2.80, 1 Tl 3.02
Cl4 0.5330 0.2182 0.1246  1 Zn 2.80, 1 Tl 3.02
Cl5 0.3424 0.7818 0.1246  1 Zn 2.80, 1 Tl 3.02
Cl6 0.8757 0.7818 0.8754  1 Zn 2.80, 1 Tl 3.02
Cl7 0.5012 0.2818 0.6246  1 Zn 2.80, 1 Tl 3.02
Cl8 0.2170 0.2818 0.3754  1 Zn 2.80, 1 Tl 3.02
Cs1 0.8410 0.0000 0.3181  6 Cl 3.45-3.81
Cs2 0.1590 0.0000 0.6819  6 Cl 3.45-3.81
Cs3 0.5910 0.5000 0.8181  6 Cl 3.45-3.81
Cs4 0.9090 0.5000 0.1819  6 Cl 3.45-3.81
Zn1 0.2500 0.5000 0.5000  2 Tl 2.66, 4 Cl 2.80
Zn2 0.5000 0.0000 0.0000  2 Tl 2.66, 4 Cl 2.80
Tl1 0.0000 0.0000 0.0000  2 Zn 2.66
Tl2 0.7500 0.5000 0.5000  2 Zn 2.66



This record from the Alexandria database describes a relaxed structure of RbCr2S4. The functional is PBE.

Computed properties:
Offset from the most stable computed form, meV per atom: 284
Formation energy without anion corrections, eV per atom: -0.554
Density of states at the Fermi level, states/eV/f.u.: 1.8
Electronic total energy, eV per atom: -5.800

Cell lengths 7.3780, 7.3780, 7.3780 Å; angles 111.87, 111.87, 104.78 degrees
Closest atoms and distances in Å follow each position.
Atoms (fractional coordinates):
S1 0.1978 0.3681 0.8296  3 Cr 2.40-2.50
S2 0.5522 0.8819 0.6704  3 Cr 2.40-2.50
S3 0.6319 0.4615 0.8296  3 Cr 2.40-2.50
S4 0.2115 0.8819 0.3296  3 Cr 2.40-2.50
S5 0.1181 0.4478 0.3296  3 Cr 2.40-2.50
S6 0.6319 0.8022 0.1704  3 Cr 2.40-2.50
S7 0.5385 0.3681 0.1704  3 Cr 2.40-2.50
S8 0.1181 0.7885 0.6704  3 Cr 2.40-2.50
Cr1 0.3750 0.1250 0.7500  6 S 2.40-2.50
Cr2 0.3750 0.6250 0.2500  6 S 2.40-2.50
Cr3 0.3750 0.6250 0.7500  6 S 2.40-2.50
Cr4 0.8750 0.6250 0.2500  6 S 2.40-2.50
Rb1 0.7500 0.2500 0.5000  4 S 2.92
Rb2 0.0000 0.0000 0.0000  4 S 2.92



This record from the Alexandria database describes a relaxed structure of SnBi. The functional is PBE.

Computed properties:
Density of states at the Fermi level, states/eV/f.u.: 1.1
Electronic total energy, eV per atom: -3.883
Formation energy, eV/atom: 0.06

Cell lengths 6.5098, 6.5772, 11.2550 Å; angles 90.00, 90.00, 90.00 degrees
Closest atoms and distances in Å follow each position.
Atoms (fractional coordinates):
Bi1 0.7958 0.1750 0.0340  5 Sn 3.23-3.48, 4 Bi 3.40-3.49
Bi2 0.9402 0.2134 0.7445  4 Sn 3.28-3.40, 4 Bi 3.38-3.48
Bi3 0.7042 0.8250 0.5340  5 Sn 3.23-3.48, 4 Bi 3.40-3.49
Bi4 0.2042 0.6750 0.4660  5 Sn 3.23-3.48, 4 Bi 3.40-3.49
Bi5 0.0598 0.7134 0.7555  4 Sn 3.28-3.40, 4 Bi 3.38-3.48
Bi6 0.5598 0.7866 0.2445  4 Sn 3.28-3.40, 4 Bi 3.38-3.48
Bi7 0.4402 0.2866 0.2555  4 Sn 3.28-3.40, 4 Bi 3.38-3.48
Bi8 0.2958 0.3250 0.9660  5 Sn 3.23-3.48, 4 Bi 3.40-3.49
Sn1 0.0184 0.0200 0.2923  5 Sn 3.16-3.43, 4 Bi 3.23-3.40
Sn2 0.9816 0.5200 0.2077  5 Sn 3.16-3.43, 4 Bi 3.23-3.40
Sn3 0.8013 0.3279 0.4669  5 Sn 3.16-3.49, 5 Bi 3.34-3.48
Sn4 0.1987 0.8279 0.0331  5 Sn 3.16-3.49, 5 Bi 3.34-3.48
Sn5 0.6987 0.6721 0.9669  5 Sn 3.16-3.49, 5 Bi 3.34-3.48
Sn6 0.3013 0.1721 0.5331  5 Sn 3.16-3.49, 5 Bi 3.34-3.48
Sn7 0.5184 0.4800 0.7077  5 Sn 3.16-3.43, 4 Bi 3.23-3.40
Sn8 0.4816 0.9800 0.7923  5 Sn 3.16-3.43, 4 Bi 3.23-3.40



This record from the Alexandria database describes a relaxed structure of CdAsH. The functional is PBE.

Computed properties:
Offset from the most stable computed form, meV per atom: 518
Density of states at the Fermi level, states/eV/f.u.: 0.8
Electronic total energy, eV per atom: -2.448

Cell lengths 3.7611, 3.7611, 4.5919 Å; angles 114.18, 114.18, 90.00 degrees
Closest atoms and distances in Å follow each position.
Atoms (fractional coordinates):
Cd1 0.5810 0.5810 0.1619  1 H 1.79
As1 0.9270 0.9270 0.8541  5 Cd 2.59-2.90, 4 H 2.73
H1 0.3420 0.3420 0.6840  1 Cd 1.79



This record from the Alexandria database describes a relaxed structure of ErPaCuSn. The functional is PBE.

Computed properties:
Density of states at the Fermi level, states/eV/f.u.: 7.5
Electronic total energy, eV per atom: -5.609
Formation energy, eV/atom: -0.07

Cell lengths 5.1204, 5.1204, 5.1204 Å; angles 60.00, 60.00, 60.00 degrees
Closest atoms and distances in Å follow each position.
Atoms (fractional coordinates):
Er1 0.5000 0.5000 0.5000  4 Cu 3.14, 4 Sn 3.14
Pa1 0.0000 0.0000 0.0000  4 Sn 3.14, 4 Cu 3.14
Cu1 0.7500 0.7500 0.7500  4 Pa 3.14, 4 Er 3.14
Sn1 0.2500 0.2500 0.2500  4 Pa 3.14, 4 Er 3.14



This record from the Alexandria database describes a relaxed structure of RbNaLi2P. The functional is PBE.

Computed properties:
Density of states at the Fermi level, states/eV/f.u.: 2.2
Electronic total energy, eV per atom: -2.545
Formation energy, eV/atom: -0.24

Cell lengths 5.0181, 5.0181, 5.6568 Å; angles 90.00, 90.00, 90.00 degrees
Closest atoms and distances in Å follow each position.
Atoms (fractional coordinates):
Rb1 0.5000 0.5000 0.5000  4 Na 3.55, 8 Li 3.78
Li1 0.5000 0.0000 0.0000  2 P 2.51
Li2 0.0000 0.5000 0.0000  2 P 2.51
P1 0.0000 0.0000 0.0000  4 Li 2.51
Na1 0.0000 0.0000 0.5000  2 P 2.83



This record from the Alexandria database describes a relaxed structure of Ac2InRh. The functional is PBE.

Computed properties:
Density of states at the Fermi level, states/eV/f.u.: 3.4
Electronic total energy, eV per atom: -5.057
Formation energy, eV/atom: -0.48

Cell lengths 4.3928, 5.3463, 6.5978 Å; angles 113.69, 109.43, 90.09 degrees
Closest atoms and distances in Å follow each position.
Atoms (fractional coordinates):
Ac1 0.8329 0.8412 0.6651  2 Rh 2.89-2.90
Ac2 0.1671 0.1768 0.3349  2 Rh 2.89-2.90
Rh1 0.5000 0.0090 0.0000  2 In 2.67, 4 Ac 2.89-2.90
In1 0.5000 0.5090 0.0000  2 Rh 2.67



This record from the Alexandria database describes a relaxed structure of RbFePt2. The functional is PBE.

Computed properties:
Offset from the most stable computed form, meV per atom: 482
Density of states at the Fermi level, states/eV/f.u.: 5.5
Electronic total energy, eV per atom: -4.510
Formation energy, eV/atom: 0.87

Cell lengths 4.8012, 4.8012, 4.8012 Å; angles 60.00, 60.00, 60.00 degrees
Closest atoms and distances in Å follow each position.
Atoms (fractional coordinates):
Fe1 0.0000 0.0000 0.0000  8 Pt 2.94
Rb1 0.5000 0.5000 0.5000  8 Pt 2.94
Pt1 0.7500 0.7500 0.7500  4 Fe 2.94, 4 Rb 2.94
Pt2 0.2500 0.2500 0.2500  4 Rb 2.94, 4 Fe 2.94



This record from the Alexandria database describes a relaxed structure of Na2ZnIn. The functional is PBE.

Computed properties:
Density of states at the Fermi level, states/eV/f.u.: 3.1
Electronic total energy, eV per atom: -1.142
Formation energy, eV/atom: 0.52

Cell lengths 5.1247, 5.1247, 7.9962 Å; angles 71.31, 71.31, 60.00 degrees
Closest atoms and distances in Å follow each position.
Atoms (fractional coordinates):
Na1 0.8615 0.8615 0.4156  3 Zn 3.02, 1 In 3.09, 3 Na 3.21
Na2 0.1385 0.1385 0.5844  3 Zn 3.02, 1 In 3.09, 3 Na 3.21
Zn1 0.5000 0.5000 0.5000  6 Na 3.02
In1 0.0000 0.0000 0.0000  2 Na 3.09



This record from the Alexandria database describes a relaxed structure of LiTbDyPt. The functional is PBE.

Computed properties:
Density of states at the Fermi level, states/eV/f.u.: 3.3
Electronic total energy, eV per atom: -4.953
Formation energy, eV/atom: -0.66

Cell lengths 4.9895, 4.9895, 4.9895 Å; angles 60.00, 60.00, 60.00 degrees
Closest atoms and distances in Å follow each position.
Atoms (fractional coordinates):
Dy1 0.5000 0.5000 0.5000  4 Li 3.06, 4 Pt 3.06
Li1 0.2500 0.2500 0.2500  4 Tb 3.06, 4 Dy 3.06
Pt1 0.7500 0.7500 0.7500  4 Tb 3.06, 4 Dy 3.06
Tb1 0.0000 0.0000 0.0000  4 Pt 3.06, 4 Li 3.06